# 1
Ac12Si5Sn3 | PBE-GGA | relaxed

abc: 16.315 16.315 16.315
angles: 109.47 109.47 109.47
Fractional coordinates of all 80 atoms:
Si 0.000 0.000 0.000
Ac 0.958 0.372 0.285
Si 0.000 0.500 0.000
Sn 0.250 0.125 0.375
Ac 0.215 0.542 0.628
Si 0.500 0.500 0.500
Si 0.250 0.875 0.125
Ac 0.458 0.785 0.872
Ac 0.785 0.327 0.913
Ac 0.587 0.872 0.414
Ac 0.327 0.542 0.414
Ac 0.413 0.128 0.586
Ac 0.586 0.958 0.673
Ac 0.914 0.087 0.872
Ac 0.542 0.215 0.128
Sn 0.375 0.625 0.250
Si 0.500 0.500 0.000
Si 0.500 0.000 0.000
Si 0.375 0.250 0.125
Sn 0.750 0.875 0.625
Si 0.000 0.500 0.500
Ac 0.586 0.628 0.413
Si 0.250 0.375 0.625
Ac 0.458 0.673 0.086
Ac 0.087 0.914 0.372
Ac 0.913 0.086 0.628
Ac 0.414 0.042 0.327
Si 0.625 0.875 0.250
Ac 0.715 0.128 0.042
Ac 0.958 0.586 0.173
Ac 0.628 0.042 0.215
Ac 0.827 0.913 0.285
Sn 0.875 0.125 0.250
Ac 0.327 0.785 0.413
Si 0.750 0.625 0.375
Ac 0.128 0.715 0.542
Ac 0.372 0.414 0.087
Si 0.125 0.750 0.375
Ac 0.715 0.587 0.173
Sn 0.375 0.750 0.625
Si 0.500 0.000 0.500
Sn 0.750 0.375 0.125
Sn 0.625 0.250 0.375
Ac 0.173 0.087 0.715
Ac 0.372 0.958 0.785
Ac 0.542 0.327 0.914
Si 0.750 0.125 0.875
Ac 0.587 0.715 0.673
Ac 0.087 0.173 0.215
Ac 0.673 0.215 0.587
Ac 0.914 0.827 0.542
Sn 0.250 0.625 0.875
Ac 0.827 0.914 0.042
Ac 0.128 0.413 0.086
Ac 0.872 0.285 0.458
Ac 0.785 0.458 0.372
Ac 0.913 0.827 0.785
Ac 0.215 0.673 0.087
Si 0.000 0.000 0.500
Ac 0.628 0.586 0.913
Ac 0.285 0.413 0.827
Sn 0.125 0.875 0.750
Si 0.875 0.625 0.750
Ac 0.173 0.086 0.958
Ac 0.042 0.414 0.827
Sn 0.875 0.750 0.125
Ac 0.673 0.458 0.586
Ac 0.285 0.872 0.958
Ac 0.086 0.173 0.458
Si 0.625 0.750 0.875
Si 0.875 0.250 0.625
Ac 0.414 0.372 0.587
Ac 0.086 0.913 0.128
Sn 0.125 0.250 0.875
Sn 0.625 0.375 0.750
Ac 0.872 0.587 0.914
Ac 0.042 0.628 0.715
Ac 0.413 0.285 0.327
Si 0.125 0.375 0.250
Si 0.375 0.125 0.750

Results
- Uncorrected formation energy: -5.305 eV/f.u.
- Symmetry: Ia-3d, No. 230



# 2
Ba2NaInH | PBE-GGA | relaxed

abc: 5.829 5.829 4.799
angles: 90.00 90.00 90.00
Fractional coordinates of all 5 atoms:
In 0.000 0.000 0.500
H 0.000 0.000 0.000
Na 0.500 0.500 0.500
Ba 0.000 0.500 0.000
Ba 0.500 0.000 0.000

Results
- Offset from the most stable computed form: 0.65 eV per formula unit
- Symmetry: P4/mmm, No. 123